Entry 1:
The following is a GGA-PBE calculation of a relaxed CsBaSn2 crystal, from Alexandria via LeMat-Bulk.

Output
total DFT energy (no corrections)	-0.096	Ha/atom
M_tot	0.0	μB/f.u.
ΔH_f (0 K)	0.093	eV/atom

a b c (Å): 7.9087 7.9087 7.9087
angles (deg): 100.79 100.79 128.74
Closest atoms and distances in Å follow each position.
Positions (direct):
Cs  0.0000  0.0000  0.0000  2 Ba 3.42, 4 Sn 3.82
Cs  0.7500  0.2500  0.5000  2 Ba 3.42, 4 Sn 3.82
Ba  0.2500  0.7500  0.5000  2 Cs 3.42, 4 Sn 3.52
Ba  0.5000  0.5000  0.0000  2 Cs 3.42, 4 Sn 3.52
Sn  0.1463  0.6250  0.0213  2 Sn 3.45, 2 Ba 3.52, 2 Cs 3.82
Sn  0.3750  0.3963  0.5213  2 Sn 3.45, 2 Ba 3.52, 2 Cs 3.82
Sn  0.6037  0.1250  0.9787  2 Sn 3.45, 2 Ba 3.52, 2 Cs 3.82
Sn  0.8750  0.8537  0.4787  2 Sn 3.45, 2 Ba 3.52, 2 Cs 3.82

Entry 2:
The following is a GGA-PBE calculation of a relaxed Cs3BaSn crystal, from Alexandria via LeMat-Bulk.

Output
total DFT energy (no corrections)	-0.035	Ha/atom
M_tot	0.9	μB/f.u.
ΔH_f (0 K)	0.749	eV/atom

a b c (Å): 7.2391 7.2391 7.2391
angles (deg): 90.00 90.00 90.00
Closest atoms and distances in Å follow each position.
Positions (direct):
Cs  0.0000  0.0000  0.5000  2 Ba 3.62
Cs  0.0000  0.5000  0.0000  2 Ba 3.62
Cs  0.5000  0.0000  0.0000  2 Ba 3.62
Ba  0.0000  0.0000  0.0000  6 Cs 3.62
Sn  0.5000  0.5000  0.5000  12 Cs 5.12

Entry 3:
The following is a GGA-PBE calculation of a relaxed CsBaZrSn2 crystal, from Alexandria via LeMat-Bulk.

Output
total DFT energy (no corrections)	-0.138	Ha/atom
M_tot	0.7	μB/f.u.
ΔH_f (0 K)	0.105	eV/atom

a b c (Å): 5.7347 5.7347 5.9744
angles (deg): 90.00 90.00 90.00
Closest atoms and distances in Å follow each position.
Positions (direct):
Cs  0.0000  0.0000  0.0000  2 Zr 2.99
Ba  0.5000  0.5000  0.0000  4 Cs 4.06, 8 Sn 4.14
Zr  0.0000  0.0000  0.5000  4 Sn 2.87, 2 Cs 2.99
Sn  0.0000  0.5000  0.5000  2 Zr 2.87
Sn  0.5000  0.0000  0.5000  2 Zr 2.87

Entry 4:
The following is a GGA-PBE calculation of a relaxed Cs2BaSr2 crystal, from Alexandria via LeMat-Bulk.

Output
total DFT energy (no corrections)	-0.041	Ha/atom
M_tot	0.0	μB/f.u.
ΔH_f (0 K)	0.270	eV/atom

a b c (Å): 12.5633 12.5633 4.7983
angles (deg): 90.00 90.00 90.00
Closest atoms and distances in Å follow each position.
Positions (direct):
Cs  0.1758  0.3242  0.0000  6 Sr 4.33-4.49, 2 Cs 4.80
Cs  0.3242  0.8242  0.0000  6 Sr 4.33-4.49, 2 Cs 4.80
Cs  0.6758  0.1758  0.0000  6 Sr 4.33-4.49, 2 Cs 4.80
Cs  0.8242  0.6758  0.0000  6 Sr 4.33-4.49, 2 Cs 4.80
Ba  0.0000  0.0000  0.5000  2 Ba 4.80, 4 Sr 5.00, 8 Cs 5.22
Ba  0.5000  0.5000  0.5000  2 Ba 4.80, 4 Sr 5.00, 8 Cs 5.22
Sr  0.1211  0.6211  0.5000  3 Sr 4.30-4.80, 6 Cs 4.33-4.49
Sr  0.3789  0.1211  0.5000  3 Sr 4.30-4.80, 6 Cs 4.33-4.49
Sr  0.6211  0.8789  0.5000  3 Sr 4.30-4.80, 6 Cs 4.33-4.49
Sr  0.8789  0.3789  0.5000  3 Sr 4.30-4.80, 6 Cs 4.33-4.49

Entry 5:
The following is a GGA-PBE calculation of a relaxed Cs2BaSr2 crystal, from Alexandria via LeMat-Bulk.

Output
total DFT energy (no corrections)	-0.041	Ha/atom
M_tot	0.1	μB/f.u.
ΔH_f (0 K)	0.282	eV/atom

a b c (Å): 12.5422 12.5422 4.6876
angles (deg): 90.00 90.00 90.00
Closest atoms and distances in Å follow each position.
Positions (direct):
Cs  0.1237  0.3763  0.0000  6 Sr 4.23-4.50, 3 Cs 4.39-4.69
Cs  0.3763  0.8763  0.0000  6 Sr 4.23-4.50, 3 Cs 4.39-4.69
Cs  0.6237  0.1237  0.0000  6 Sr 4.23-4.50, 3 Cs 4.39-4.69
Cs  0.8763  0.6237  0.0000  6 Sr 4.23-4.50, 3 Cs 4.39-4.69
Ba  0.0000  0.0000  0.0000  2 Ba 4.69, 4 Cs 4.97, 8 Sr 5.18
Ba  0.5000  0.5000  0.0000  2 Ba 4.69, 4 Cs 4.97, 8 Sr 5.18
Sr  0.1776  0.6776  0.5000  6 Cs 4.23-4.50, 2 Sr 4.69
Sr  0.3224  0.1776  0.5000  6 Cs 4.23-4.50, 2 Sr 4.69
Sr  0.6776  0.8224  0.5000  6 Cs 4.23-4.50, 2 Sr 4.69
Sr  0.8224  0.3224  0.5000  6 Cs 4.23-4.50, 2 Sr 4.69

Entry 6:
The following is a GGA-PBE calculation of a relaxed CsBa4Sr crystal, from Alexandria via LeMat-Bulk.

Output
total DFT energy (no corrections)	-0.057	Ha/atom
M_tot	0.0	μB/f.u.
ΔH_f (0 K)	0.163	eV/atom

a b c (Å): 8.4558 8.4558 8.4558
angles (deg): 60.00 60.00 60.00
Closest atoms and distances in Å follow each position.
Positions (direct):
Cs  0.0000  0.0000  0.0000  12 Ba 4.96, 4 Sr 5.18
Ba  0.3757  0.3757  0.3757  6 Ba 4.20-4.25
Ba  0.3757  0.3757  0.8728  6 Ba 4.20-4.25
Ba  0.3757  0.8728  0.3757  6 Ba 4.20-4.25
Ba  0.8728  0.3757  0.3757  6 Ba 4.20-4.25
Sr  0.7500  0.7500  0.7500  12 Ba 4.96, 4 Cs 5.18

Entry 7:
The following is a GGA-PBE calculation of a relaxed CsBa2Sr crystal, from Alexandria via LeMat-Bulk.

Output
total DFT energy (no corrections)	-0.055	Ha/atom
M_tot	0.0	μB/f.u.
ΔH_f (0 K)	0.095	eV/atom

a b c (Å): 4.5284 4.5284 13.7656
angles (deg): 90.00 90.00 90.00
Closest atoms and distances in Å follow each position.
Positions (direct):
Cs  0.0000  0.0000  0.0000  4 Cs 4.53, 8 Ba 5.04
Ba  0.5000  0.5000  0.2829  4 Sr 4.38, 4 Ba 4.53
Ba  0.5000  0.5000  0.7171  4 Sr 4.38, 4 Ba 4.53
Sr  0.0000  0.0000  0.5000  8 Ba 4.38, 4 Sr 4.53

Entry 8:
The following is a GGA-PBE calculation of a relaxed CsBaSr2 crystal, from Alexandria via LeMat-Bulk.

Output
total DFT energy (no corrections)	-0.053	Ha/atom
M_tot	0.0	μB/f.u.
ΔH_f (0 K)	0.097	eV/atom

a b c (Å): 15.4548 15.4548 15.4548
angles (deg): 16.60 16.60 16.60
Closest atoms and distances in Å follow each position.
Positions (direct):
Cs  0.0000  0.0000  0.0000  6 Cs 4.46, 6 Sr 4.80-4.82
Ba  0.1671  0.1671  0.1671  6 Sr 4.39-4.40, 6 Ba 4.46
Sr  0.5781  0.5781  0.5781  3 Ba 4.39, 6 Sr 4.46, 3 Cs 4.80
Sr  0.7558  0.7558  0.7558  3 Ba 4.40, 6 Sr 4.46, 3 Cs 4.82